Below is an optimized crystal structure of SmPu2Si, with properties calculated at the GGA-PBE level.

Values from the calculation:
Formation energy (no corrections) (eV per atom): 0.12
Crystal system: cubic

abc: 5.148 5.148 5.149
angles: 60.01 60.01 60.00
Positions (direct):
Si 0.000 0.000 0.000
Sm 0.500 0.500 0.500
Pu 0.250 0.250 0.250
Pu 0.750 0.750 0.750